# 1
{"formula": "MnVCu2", "functional": "GGA-PBE", "state": "relaxed", "cell": [[-1.7066, 1.7066, 9.2137], [1.7066, -1.7066, 9.2137], [1.7066, 1.7066, -9.2137]], "species": ["Mn", "Mn", "V", "V", "Cu", "Cu", "Cu", "Cu"], "frac_coords": [[0.0000, 0.0000, 0.0000], [0.7500, 0.2500, 0.5000], [0.2500, 0.7500, 0.5000], [0.5000, 0.5000, 0.0000], [0.1202, 0.6250, 0.9952], [0.3750, 0.3702, 0.4952], [0.6298, 0.1250, 0.0048], [0.8750, 0.8798, 0.5048]], "vol_a3_per_atom": 13.42, "space_group": "I-42d", "formation_energy_mev_per_atom": 440, "total_magnetization_mub_per_atom": 0.158}


# 2
{"formula": "MnV2Cu2", "functional": "GGA-PBE", "state": "relaxed", "cell": [[6.5806, 0.0000, 0.0000], [0.0000, 6.5806, 0.0000], [0.0000, 0.0000, 3.1206]], "species": ["Mn", "Mn", "V", "V", "V", "V", "Cu", "Cu", "Cu", "Cu"], "frac_coords": [[0.0000, 0.0000, 0.0000], [0.5000, 0.5000, 0.0000], [0.1722, 0.3278, 0.5000], [0.3278, 0.8278, 0.5000], [0.6722, 0.1722, 0.5000], [0.8278, 0.6722, 0.5000], [0.1280, 0.6280, 0.0000], [0.3720, 0.1280, 0.0000], [0.6280, 0.8720, 0.0000], [0.8720, 0.3720, 0.0000]], "vol_a3_per_atom": 13.51, "space_group": "P4/mbm", "formation_energy_mev_per_atom": 336, "total_magnetization_mub_per_atom": 0.033}


# 3
{"formula": "Mn2VCu", "functional": "GGA-PBE", "state": "relaxed", "cell": [[3.0058, 0.0000, 0.0000], [0.0000, 3.0058, 0.0000], [0.0000, 0.0000, 5.6179]], "species": ["Mn", "Mn", "V", "Cu"], "frac_coords": [[0.0000, 0.0000, 0.2438], [0.0000, 0.0000, 0.7562], [0.5000, 0.5000, 0.0000], [0.5000, 0.5000, 0.5000]], "vol_a3_per_atom": 12.69, "space_group": "P4/mmm", "formation_energy_mev_per_atom": 23, "total_magnetization_mub_per_atom": 1.010}


# 4
{"formula": "Mn2VCu", "functional": "GGA-PBE", "state": "relaxed", "cell": [[-3.2636, 3.2636, 2.5905], [3.2636, -3.2636, 2.5905], [3.2636, 3.2636, -2.5905]], "species": ["Mn", "Mn", "Mn", "Mn", "V", "V", "Cu", "Cu"], "frac_coords": [[0.1206, 0.6250, 0.9956], [0.3750, 0.3706, 0.4956], [0.6294, 0.1250, 0.0044], [0.8750, 0.8794, 0.5044], [0.0000, 0.0000, 0.0000], [0.7500, 0.2500, 0.5000], [0.2500, 0.7500, 0.5000], [0.5000, 0.5000, 0.0000]], "vol_a3_per_atom": 13.80, "space_group": "I-42d", "formation_energy_mev_per_atom": 500, "total_magnetization_mub_per_atom": 1.005}


# 5
{"formula": "YMnVCu2", "functional": "GGA-PBE", "state": "relaxed", "cell": [[4.7758, 0.0000, 0.0000], [0.0000, 4.7758, 0.0000], [0.0000, 0.0000, 4.8086]], "species": ["Y", "Mn", "V", "Cu", "Cu"], "frac_coords": [[0.0000, 0.0000, 0.0000], [0.5000, 0.5000, 0.5000], [0.0000, 0.0000, 0.5000], [0.0000, 0.5000, 0.0000], [0.5000, 0.0000, 0.0000]], "vol_a3_per_atom": 21.94, "space_group": "P4/mmm", "formation_energy_mev_per_atom": 2154, "total_magnetization_mub_per_atom": 0.389}


# 6
{"formula": "Mn2CuW", "functional": "GGA-PBE", "state": "relaxed", "cell": [[0.0000, 2.9467, 2.9467], [2.9467, 0.0000, 2.9467], [2.9467, 2.9467, 0.0000]], "species": ["Mn", "Mn", "Cu", "W"], "frac_coords": [[0.2500, 0.2500, 0.2500], [0.7500, 0.7500, 0.7500], [0.0000, 0.0000, 0.0000], [0.5000, 0.5000, 0.5000]], "de_polymorph_ev_per_atom": 0.017, "vol_a3_per_atom": 12.79, "space_group": "Fm-3m", "formation_energy_mev_per_atom": 180, "total_magnetization_mub_per_atom": 0.749}


# 7
{"formula": "MnCuW", "functional": "GGA-PBE", "state": "relaxed", "cell": [[-1.3401, 1.8674, 4.0208], [1.3401, -1.8674, 4.0208], [1.3401, 1.8674, -4.0208]], "species": ["Mn", "Cu", "W"], "frac_coords": [[0.0000, 0.0000, 0.0000], [0.3381, 0.3381, 0.0000], [0.6669, 0.6669, 0.0000]], "de_polymorph_ev_per_atom": 0.003, "vol_a3_per_atom": 13.42, "space_group": "Imm2", "formation_energy_mev_per_atom": 273, "total_magnetization_mub_per_atom": 0.571}


# 8
{"formula": "Mn2CuW", "functional": "GGA-PBE", "state": "relaxed", "cell": [[2.6969, 0.0000, 0.0000], [0.0000, 2.6969, 0.0000], [0.0000, 0.0000, 6.9069]], "species": ["Mn", "Mn", "Cu", "W"], "frac_coords": [[0.0000, 0.0000, 0.0000], [0.5000, 0.5000, 0.1830], [0.5000, 0.5000, 0.7474], [0.0000, 0.0000, 0.4733]], "de_polymorph_ev_per_atom": 0.076, "vol_a3_per_atom": 12.56, "space_group": "P4mm", "formation_energy_mev_per_atom": 240, "total_magnetization_mub_per_atom": 0.001}


# 9
{"formula": "MnCu3W", "functional": "GGA-PBE", "state": "relaxed", "cell": [[4.2412, 0.0000, 0.0000], [0.0000, 4.2412, 0.0000], [0.0000, 0.0000, 4.2412]], "species": ["Mn", "Cu", "Cu", "Cu", "W"], "frac_coords": [[0.0000, 0.0000, 0.0000], [0.0000, 0.0000, 0.5000], [0.0000, 0.5000, 0.0000], [0.5000, 0.0000, 0.0000], [0.5000, 0.5000, 0.5000]], "vol_a3_per_atom": 15.26, "space_group": "Pm-3m", "formation_energy_mev_per_atom": 1736, "total_magnetization_mub_per_atom": 0.000}


# 10
{"formula": "MnCuW", "functional": "GGA-PBE", "state": "relaxed", "cell": [[0.0000, 1.8747, 5.8557], [1.8661, 0.0000, 5.8557], [1.8661, 1.8747, 0.0000]], "species": ["Mn", "Cu", "W"], "frac_coords": [[0.0000, 0.0000, 0.0000], [0.3439, 0.3439, 0.6561], [0.6726, 0.6726, 0.3274]], "de_polymorph_ev_per_atom": 0.006, "vol_a3_per_atom": 13.66, "space_group": "Fmm2", "formation_energy_mev_per_atom": 276, "total_magnetization_mub_per_atom": 0.873}


# 11
{"formula": "Mn2CuW", "functional": "GGA-PBE", "state": "relaxed", "cell": [[3.9073, 0.0000, 0.0000], [0.0000, 3.9073, 0.0000], [0.0000, 0.0000, 3.3407]], "species": ["Mn", "Mn", "Cu", "W"], "frac_coords": [[0.0000, 0.5000, 0.0000], [0.5000, 0.0000, 0.0000], [0.0000, 0.0000, 0.5000], [0.5000, 0.5000, 0.5000]], "de_polymorph_ev_per_atom": 0.006, "vol_a3_per_atom": 12.75, "space_group": "P4/mmm", "formation_energy_mev_per_atom": 170, "total_magnetization_mub_per_atom": 0.721}


# 12
{"formula": "Mn2CuW", "functional": "GGA-PBE", "state": "relaxed", "cell": [[1.5808, -2.0961, 0.0000], [1.5808, 2.0961, 0.0000], [0.0000, 0.0000, 8.1094]], "species": ["Mn", "Mn", "Cu", "W"], "frac_coords": [[0.0000, 0.0000, 0.2433], [0.0000, 0.0000, 0.7567], [0.5000, 0.5000, 0.0000], [0.5000, 0.5000, 0.5000]], "de_polymorph_ev_per_atom": 0.092, "vol_a3_per_atom": 13.44, "space_group": "Cmmm", "formation_energy_mev_per_atom": 255, "total_magnetization_mub_per_atom": 1.132}


# 13
{"formula": "Mn2CuW", "functional": "GGA-PBE", "state": "relaxed", "cell": [[2.6364, 0.0000, 0.0000], [0.0000, 3.7244, 0.0000], [0.0000, 0.0000, 5.2699]], "species": ["Mn", "Mn", "Cu", "W"], "frac_coords": [[0.0000, 0.0000, 0.0000], [0.5000, 0.5000, 0.2296], [0.5000, 0.5000, 0.7540], [0.0000, 0.0000, 0.4903]], "de_polymorph_ev_per_atom": 0.065, "vol_a3_per_atom": 12.94, "space_group": "Pmm2", "formation_energy_mev_per_atom": 228, "total_magnetization_mub_per_atom": 0.065}


# 14
{"formula": "Mn2CuW", "functional": "GGA-PBE", "state": "relaxed", "cell": [[2.6829, 0.0000, 0.0000], [0.0000, 2.6829, 0.0000], [0.0000, 0.0000, 7.6107]], "species": ["Mn", "Mn", "Cu", "W"], "frac_coords": [[0.0000, 0.0000, 0.2341], [0.0000, 0.0000, 0.7659], [0.5000, 0.5000, 0.0000], [0.5000, 0.5000, 0.5000]], "de_polymorph_ev_per_atom": 0.107, "vol_a3_per_atom": 13.70, "space_group": "P4/mmm", "formation_energy_mev_per_atom": 270, "total_magnetization_mub_per_atom": 1.506}


# 15
{"formula": "Mn2CuW", "functional": "GGA-PBE", "state": "relaxed", "cell": [[4.2866, -1.3149, 0.0000], [4.2866, 1.3149, 0.0000], [-0.6733, 0.0000, 4.5581]], "species": ["Mn", "Mn", "Cu", "W"], "frac_coords": [[0.2444, 0.2444, 0.2362], [0.7556, 0.7556, 0.7638], [0.5000, 0.5000, 0.0000], [0.0000, 0.0000, 0.5000]], "de_polymorph_ev_per_atom": 0.120, "vol_a3_per_atom": 12.85, "space_group": "C2/m", "formation_energy_mev_per_atom": 284, "total_magnetization_mub_per_atom": 0.739}


# 16
{"formula": "MnCu4W", "functional": "GGA-PBE", "state": "relaxed", "cell": [[0.0000, 3.3743, 3.3743], [3.3743, 0.0000, 3.3743], [3.3743, 3.3743, 0.0000]], "species": ["Mn", "Cu", "Cu", "Cu", "Cu", "W"], "frac_coords": [[0.0000, 0.0000, 0.0000], [0.3747, 0.3747, 0.3747], [0.3747, 0.3747, 0.8758], [0.3747, 0.8758, 0.3747], [0.8758, 0.3747, 0.3747], [0.7500, 0.7500, 0.7500]], "vol_a3_per_atom": 12.81, "space_group": "F-43m", "formation_energy_mev_per_atom": 288, "total_magnetization_mub_per_atom": 0.326}


# 17
{"formula": "Mn2CuW", "functional": "GGA-PBE", "state": "relaxed", "cell": [[1.3593, 0.7848, 8.6773], [-1.3593, 0.7848, 8.6773], [0.0000, -1.5696, 8.6773]], "species": ["Mn", "Mn", "Cu", "W"], "frac_coords": [[0.2468, 0.2468, 0.2468], [0.7532, 0.7532, 0.7532], [0.5000, 0.5000, 0.5000], [0.0000, 0.0000, 0.0000]], "de_polymorph_ev_per_atom": 0.201, "vol_a3_per_atom": 13.89, "space_group": "R-3m", "formation_energy_mev_per_atom": 365, "total_magnetization_mub_per_atom": 1.426}


# 18
{"formula": "Mn2CuW", "functional": "GGA-PBE", "state": "relaxed", "cell": [[-1.7318, 1.9071, 3.9452], [1.7318, -1.9071, 3.9452], [1.7318, 1.9071, -3.9452]], "species": ["Mn", "Mn", "Cu", "W"], "frac_coords": [[0.0000, 0.0000, 0.0000], [0.7519, 0.2519, 0.5000], [0.5000, 0.5000, 0.0000], [0.2441, 0.7441, 0.5000]], "de_polymorph_ev_per_atom": 0.064, "vol_a3_per_atom": 13.03, "space_group": "Imm2", "formation_energy_mev_per_atom": 227, "total_magnetization_mub_per_atom": 0.948}


# 19
{"formula": "Mn2CuW", "functional": "GGA-PBE", "state": "relaxed", "cell": [[3.0675, 0.0000, 0.0000], [0.0000, 3.0675, 0.0000], [0.0000, 0.0000, 5.5232]], "species": ["Mn", "Mn", "Cu", "W"], "frac_coords": [[0.0000, 0.0000, 0.2459], [0.0000, 0.0000, 0.7541], [0.5000, 0.5000, 0.0000], [0.5000, 0.5000, 0.5000]], "de_polymorph_ev_per_atom": 0.000, "vol_a3_per_atom": 12.99, "space_group": "P4/mmm", "formation_energy_mev_per_atom": 164, "total_magnetization_mub_per_atom": 0.838}


# 20
{"formula": "Mn2CuW2", "functional": "GGA-PBE", "state": "relaxed", "cell": [[6.9456, 0.0000, 0.0000], [0.0000, 6.9456, 0.0000], [0.0000, 0.0000, 2.8808]], "species": ["Mn", "Mn", "Mn", "Mn", "Cu", "Cu", "W", "W", "W", "W"], "frac_coords": [[0.1400, 0.3600, 0.0000], [0.3600, 0.8600, 0.0000], [0.6400, 0.1400, 0.0000], [0.8600, 0.6400, 0.0000], [0.0000, 0.0000, 0.0000], [0.5000, 0.5000, 0.0000], [0.1599, 0.6599, 0.5000], [0.3401, 0.1599, 0.5000], [0.6599, 0.8401, 0.5000], [0.8401, 0.3401, 0.5000]], "vol_a3_per_atom": 13.90, "space_group": "P4/mbm", "formation_energy_mev_per_atom": 371, "total_magnetization_mub_per_atom": 0.000}


# 21
{"formula": "MnCuW", "functional": "GGA-PBE", "state": "relaxed", "cell": [[4.2091, 0.0000, 0.0000], [-2.1046, 3.6452, 0.0000], [0.0000, 0.0000, 2.5670]], "species": ["Mn", "Cu", "W"], "frac_coords": [[0.0000, 0.0000, 0.0000], [0.3333, 0.6667, 0.6773], [0.6667, 0.3333, 0.2773]], "de_polymorph_ev_per_atom": 0.000, "vol_a3_per_atom": 13.13, "space_group": "P3m1", "formation_energy_mev_per_atom": 270, "total_magnetization_mub_per_atom": 0.000}


# 22
{"formula": "Mn2CuW", "functional": "GGA-PBE", "state": "relaxed", "cell": [[2.5697, 0.0000, 0.0000], [0.0000, 4.2007, 0.0000], [-0.5024, 0.0000, 4.7644]], "species": ["Mn", "Mn", "Cu", "W"], "frac_coords": [[0.2378, 0.0000, 0.2430], [0.7622, 0.0000, 0.7570], [0.5000, 0.5000, 0.0000], [0.0000, 0.5000, 0.5000]], "de_polymorph_ev_per_atom": 0.124, "vol_a3_per_atom": 12.86, "space_group": "P2/m", "formation_energy_mev_per_atom": 287, "total_magnetization_mub_per_atom": 0.663}


# 23
{"formula": "Mn2CuW", "functional": "GGA-PBE", "state": "relaxed", "cell": [[0.0000, 2.9685, 2.9685], [2.9685, 0.0000, 2.9685], [2.9685, 2.9685, 0.0000]], "species": ["Mn", "Mn", "Cu", "W"], "frac_coords": [[0.0000, 0.0000, 0.0000], [0.2500, 0.2500, 0.2500], [0.5000, 0.5000, 0.5000], [0.7500, 0.7500, 0.7500]], "de_polymorph_ev_per_atom": 0.158, "vol_a3_per_atom": 13.08, "space_group": "F-43m", "formation_energy_mev_per_atom": 322, "total_magnetization_mub_per_atom": 0.813}


# 24
{"formula": "Mn2CuW", "functional": "GGA-PBE", "state": "relaxed", "cell": [[1.3139, 0.7586, 8.5604], [-1.3139, 0.7586, 8.5604], [0.0000, -1.5171, 8.5604]], "species": ["Mn", "Mn", "Cu", "W"], "frac_coords": [[0.0000, 0.0000, 0.0000], [0.2619, 0.2619, 0.2619], [0.7497, 0.7497, 0.7497], [0.5066, 0.5066, 0.5066]], "de_polymorph_ev_per_atom": 0.162, "vol_a3_per_atom": 12.80, "space_group": "R3m", "formation_energy_mev_per_atom": 326, "total_magnetization_mub_per_atom": 0.000}


# 25
{"formula": "Mn2CuW", "functional": "GGA-PBE", "state": "relaxed", "cell": [[-3.3112, 3.3112, 2.5918], [3.3112, -3.3112, 2.5918], [3.3112, 3.3112, -2.5918]], "species": ["Mn", "Mn", "Mn", "Mn", "Cu", "Cu", "W", "W"], "frac_coords": [[0.1247, 0.1250, 0.4997], [0.3750, 0.8753, 0.0003], [0.6253, 0.6250, 0.5003], [0.8750, 0.3747, 0.9997], [0.0000, 0.0000, 0.0000], [0.7500, 0.2500, 0.5000], [0.2500, 0.7500, 0.5000], [0.5000, 0.5000, 0.0000]], "de_polymorph_ev_per_atom": 0.581, "vol_a3_per_atom": 14.21, "space_group": "I-42d", "formation_energy_mev_per_atom": 744, "total_magnetization_mub_per_atom": 0.966}


# 26
{"formula": "Mn2CuW", "functional": "GGA-PBE", "state": "relaxed", "cell": [[2.5933, 0.0000, 0.0000], [0.0000, 4.0387, 0.0000], [-1.2636, 0.0000, 4.9629]], "species": ["Mn", "Mn", "Cu", "W"], "frac_coords": [[0.0000, 0.0000, 0.0000], [0.2214, 0.5000, 0.7781], [0.4070, 0.0000, 0.5247], [0.7339, 0.5000, 0.2691]], "de_polymorph_ev_per_atom": 0.091, "vol_a3_per_atom": 12.99, "space_group": "Pm", "formation_energy_mev_per_atom": 255, "total_magnetization_mub_per_atom": 0.094}


# 27
{"formula": "MnCuW", "functional": "GGA-PBE", "state": "relaxed", "cell": [[0.0000, 2.8317, 2.8317], [2.8317, 0.0000, 2.8317], [2.8317, 2.8317, 0.0000]], "species": ["Mn", "Cu", "W"], "frac_coords": [[0.0000, 0.0000, 0.0000], [0.7500, 0.7500, 0.7500], [0.2500, 0.2500, 0.2500]], "de_polymorph_ev_per_atom": 0.532, "vol_a3_per_atom": 15.14, "space_group": "F-43m", "formation_energy_mev_per_atom": 802, "total_magnetization_mub_per_atom": 0.022}


# 28
{"formula": "YMnCu3", "functional": "GGA-PBE", "state": "relaxed", "cell": [[4.8999, 0.0000, 0.0000], [0.0000, 4.8999, 0.0000], [0.0000, 0.0000, 4.8999]], "species": ["Y", "Mn", "Cu", "Cu", "Cu"], "frac_coords": [[0.0000, 0.0000, 0.0000], [0.5000, 0.5000, 0.5000], [0.0000, 0.0000, 0.5000], [0.0000, 0.5000, 0.0000], [0.5000, 0.0000, 0.0000]], "de_polymorph_ev_per_atom": 1.470, "vol_a3_per_atom": 23.53, "space_group": "Pm-3m", "formation_energy_mev_per_atom": 1883, "total_magnetization_mub_per_atom": 0.059}


# 29
{"formula": "Y2Mn2Cu", "functional": "GGA-PBE", "state": "relaxed", "cell": [[6.8023, 0.0000, 0.0000], [0.0000, 6.8023, 0.0000], [0.0000, 0.0000, 4.2443]], "species": ["Y", "Y", "Y", "Y", "Mn", "Mn", "Mn", "Mn", "Cu", "Cu"], "frac_coords": [[0.1734, 0.3266, 0.0000], [0.3266, 0.8266, 0.0000], [0.6734, 0.1734, 0.0000], [0.8266, 0.6734, 0.0000], [0.1282, 0.6282, 0.5000], [0.3718, 0.1282, 0.5000], [0.6282, 0.8718, 0.5000], [0.8718, 0.3718, 0.5000], [0.0000, 0.0000, 0.5000], [0.5000, 0.5000, 0.5000]], "vol_a3_per_atom": 19.64, "space_group": "P4/mbm", "formation_energy_mev_per_atom": 162, "total_magnetization_mub_per_atom": 0.849}